First-principles (PBE-GGA) data for an optimized crystal structure of Ta2MnHg, as listed in Alexandria via LeMat-Bulk.

Cell: 3.000 3.000 7.541 Å, 90.00 90.00 90.00°
Space group P4/mmm (No. 123)
Inequivalent atoms, fractional coordinates:
Ta (0.000, 0.000, 0.206) (multiplicity 2)
Mn (0.500, 0.500, 0.000) (multiplicity 1)
Hg (0.500, 0.500, 0.500) (multiplicity 1)

V: 68 Å³ per cell
Energy of formation from the pure elements: 0.6 eV/f.u.
Total moment: 0.000 μB/f.u.